[1]
Below is a relaxed structure of YScO3, with properties calculated at the PBE level.

Unit cell a=3.192 b=6.373 c=11.820 alpha=90.00 beta=90.00 gamma=90.00
Element x y z (fractional)
Y 0.750 0.867 0.799
Y 0.250 0.133 0.201
Y 0.750 0.367 0.701
Y 0.250 0.633 0.299
Sc 0.250 0.296 0.957
Sc 0.250 0.796 0.543
Sc 0.750 0.204 0.457
Sc 0.750 0.704 0.043
O 0.250 0.340 0.556
O 0.750 0.840 0.207
O 0.750 0.482 0.895
O 0.750 0.982 0.605
O 0.750 0.660 0.444
O 0.250 0.018 0.395
O 0.250 0.840 0.944
O 0.750 0.340 0.293
O 0.250 0.660 0.707
O 0.250 0.160 0.793
O 0.750 0.160 0.056
O 0.250 0.518 0.105

DOS at the Fermi energy = 0.00 states/eV/f.u.
space-group type = Pnma
formation energy from raw total energies = -3.424 eV/atom
E = -8.9578 eV/atom


[2]
Below is a relaxed structure of KBaZn, with properties calculated at the PBE level.

Unit cell a=5.856 b=5.856 c=5.856 alpha=60.00 beta=60.00 gamma=60.00
Element x y z (fractional)
Ba 0.000 0.000 0.000
K 0.500 0.500 0.500
Zn 0.750 0.750 0.750

formation energy from the elements = 0.111 eV per atom
DOS at the Fermi energy = 3.59 states/eV/f.u.
space-group type = F-43m
E = -1.3201 eV/atom


Calculated magnetic moment, 0.000, 0.001 μB/f.u. (same order as the records).
Calculated calculated volume, 240.4, 142.0 Å³/cell (same order as the records).